The following is a GGA+U calculation of crystalline SmFeAs2O8 at its relaxed geometry, from Alexandria.

Summary:
Total DFT energy (no corrections) ... -79.93 eV/f.u.
V ... 312 Å³ per cell

Cell lengths 7.0754, 7.0754, 6.2296 Å; angles 90.00, 90.00, 90.00 degrees
Closest atoms and distances in Å follow each position.
Space group I-4m2 (No. 119)
Asymmetric unit:
Sm 0.0000 0.0000 0.0000  8 O 2.33-2.42
Fe 0.0000 0.5000 0.7500  8 O 2.25-2.29
As 0.0000 0.0000 0.5000  4 O 1.73
As 0.0000 0.5000 0.2500  4 O 1.72
O 0.0000 0.1892 0.6759  1 As 1.73
O 0.0000 0.3252 0.0589  1 As 1.72